Computed, not measured: a geometry-optimized KFeMoF6 structure at the PBE+U level of DFT.

Cell: 5.658 5.658 11.218 Å, 90.00 90.00 120.00°
Site moments in Bohr magnetons follow the coordinates.
Fractional coordinates of all 18 atoms:
F: 0.366 0.000 0.151  0.04
F: 0.000 0.634 0.349  0.04
F: 0.634 0.634 0.151  0.04
F: 0.366 0.366 0.849  0.04
F: 0.634 0.000 0.349  0.04
F: 0.000 0.366 0.151  0.04
F: 0.000 0.366 0.651  0.04
F: 0.366 0.366 0.349  0.04
F: 0.366 0.000 0.651  0.04
F: 0.634 0.000 0.849  0.04
F: 0.634 0.634 0.651  0.04
F: 0.000 0.634 0.849  0.04
K: 0.000 0.000 0.500  0.00
K: 0.000 0.000 0.000  0.00
Fe: 0.333 0.667 0.250  3.82
Fe: 0.667 0.333 0.750  3.82
Mo: 0.333 0.667 0.750  2.79
Mo: 0.667 0.333 0.250  2.79

Calculated values
symmetry: No. 163
uncorrected energy: -5.2876 eV/atom
total magnetization: 0.778 μB/atom